(1)
Entry from OQMD via LeMat-Bulk: a geometry-optimized ReAsPO structure (GGA-PBE).

Summary:
* energy above the lowest structure with this stoichiometry: 138 meV/atom
* ρ: 8.258 Mg/m³
* space group: P4/nmm, No. 129

a b c (Å): 3.781 3.781 8.669
angles (deg): 90.00 90.00 90.00
Sites, in units of the cell vectors:
O: 0.500 0.500 0.000
O: 0.000 0.000 0.000
As: 0.500 0.000 0.885
As: 0.000 0.500 0.115
P: 0.500 0.000 0.324
P: 0.000 0.500 0.676
Re: 0.500 0.500 0.500
Re: 0.000 0.000 0.500

=====

(2)
Entry from OQMD via LeMat-Bulk: a geometry-optimized SmAsPO structure (GGA-PBE).

Summary:
* energy above the lowest structure with this stoichiometry: 0 meV/atom
* ρ: 6.464 Mg/m³
* space group: P4/nmm, No. 129

a b c (Å): 4.576 4.576 6.681
angles (deg): 90.00 90.00 90.00
Sites, in units of the cell vectors:
As: 0.750 0.250 0.500
As: 0.250 0.750 0.500
Sm: 0.750 0.750 0.881
Sm: 0.250 0.250 0.119
P: 0.750 0.750 0.370
P: 0.250 0.250 0.630
O: 0.250 0.750 0.000
O: 0.750 0.250 0.000

=====

(3)
Entry from OQMD via LeMat-Bulk: a geometry-optimized SmAsPO structure (GGA-PBE).

Summary:
* energy above the lowest structure with this stoichiometry: 155 meV/atom
* ρ: 4.148 Mg/m³
* space group: Pmc2_1, No. 26

a b c (Å): 5.136 6.872 6.177
angles (deg): 90.00 90.00 90.00
Sites, in units of the cell vectors:
Sm: 0.500 0.182 0.481
Sm: 0.500 0.818 0.981
As: 0.000 0.317 0.055
As: 0.000 0.683 0.555
O: 0.500 0.927 0.297
O: 0.500 0.073 0.797
P: 0.000 0.375 0.421
P: 0.000 0.625 0.921

=====

(4)
Entry from OQMD via LeMat-Bulk: a geometry-optimized SmAsPO structure (GGA-PBE).

Summary:
* energy above the lowest structure with this stoichiometry: 489 meV/atom
* ρ: 5.757 Mg/m³
* space group: P4/nmm, No. 129

a b c (Å): 5.769 5.769 4.720
angles (deg): 90.00 90.00 90.00
Sites, in units of the cell vectors:
O: 0.000 0.000 0.000
O: 0.500 0.500 0.000
As: 0.500 0.000 0.993
As: 0.000 0.500 0.007
Sm: 0.000 0.000 0.500
Sm: 0.500 0.500 0.500
P: 0.000 0.500 0.507
P: 0.500 0.000 0.493

=====

(5)
Entry from OQMD via LeMat-Bulk: a geometry-optimized SmAsPO structure (GGA-PBE).

Summary:
* energy above the lowest structure with this stoichiometry: 176 meV/atom
* ρ: 5.569 Mg/m³
* space group: Pmc2_1, No. 26

a b c (Å): 4.290 6.095 6.210
angles (deg): 90.00 90.00 90.00
Sites, in units of the cell vectors:
O: 0.000 0.708 0.318
O: 0.000 0.292 0.818
P: 0.500 0.267 0.424
P: 0.500 0.733 0.924
As: 0.000 0.141 0.556
As: 0.000 0.859 0.056
Sm: 0.500 0.747 0.456
Sm: 0.500 0.253 0.956

=====

(6)
Entry from OQMD via LeMat-Bulk: a geometry-optimized TbAsPO structure (GGA-PBE).

Summary:
* energy above the lowest structure with this stoichiometry: 100 meV/atom
* ρ: 5.969 Mg/m³
* space group: Pmc2_1, No. 26

a b c (Å): 4.252 6.042 6.082
angles (deg): 90.00 90.00 90.00
Sites, in units of the cell vectors:
O: 0.000 0.297 0.824
O: 0.000 0.703 0.324
As: 0.000 0.860 0.057
As: 0.000 0.140 0.557
P: 0.500 0.268 0.421
P: 0.500 0.732 0.921
Tb: 0.500 0.743 0.452
Tb: 0.500 0.257 0.952